DyY2Sb2 | PBE-GGA | optimized geometry

Unit cell a=10.641 b=11.917 c=5.878 alpha=90.00 beta=123.36 gamma=90.00
Space group C2/c (No. 15)
Asymmetric unit:
Dy  0.000  0.098  0.250 x4
Y  0.180  0.403  0.965 x8
Sb  0.000  0.173  0.750 x4
Sb  0.000  0.371  0.250 x4

Values from the calculation:
The magnetization comes out at 0.0002 μB/atom. The total energy is -116.09 eV per cell. Its density of states at the Fermi level is 1.19 states/eV/atom.

=====

Pu2SbSe6 | PBE-GGA | optimized geometry

Unit cell a=6.577 b=6.577 c=12.730 alpha=90.00 beta=90.00 gamma=90.00
Space group P4_2/mnm (No. 136)
Asymmetric unit:
Pu  0.000  0.000  0.167 x4
Sb  0.000  0.000  0.500 x2
Se  0.193  0.193  0.000 x4
Se  0.198  0.198  0.330 x8

Values from the calculation:
The magnetization comes out at 0.7813 μB/atom. The total energy is -120.95 eV per cell. Its density of states at the Fermi level is 2.23 states/eV/atom.

=====

I2BrCl | PBE-GGA | optimized geometry

Unit cell a=5.4624 b=5.4624 c=24.7404 alpha=90.00 beta=90.00 gamma=120.00
Space group P3_121 (No. 152)
Asymmetric unit:
I  0.0366  0.8601  0.4184 x6
Br  0.0000  0.3934  0.6667 x3
Cl  0.0000  0.3106  0.1667 x3

Values from the calculation:
The magnetization comes out at 0.0000 μB/atom. As for the energy relative to the lowest polymorph listed for this composition: 0.00 eV/f.u.